A relaxed TlPtBr crystal. Source: Alexandria, functional PBE.

The value obtained for the magnetization is 0.0 μB/cell. As for the density: 10.98 g/cm3. For the uncorrected formation energy, the calculation gives 214 meV per atom. The total DFT energy (no corrections) comes out at -9.44 eV per cell. The symmetry is No. 44. For the relative energy among the computed polymorphs, the calculation gives 0.195 eV per atom.

a b c (Å): 6.2752 6.2752 6.2752
angles (deg): 147.04 147.22 47.17
With the nearest neighbours (Å) after each atom.
Positions (direct):
1 Tl 0.7050 0.7050 0.0000  4 Pt 2.82, 1 Br 3.14
2 Br 0.9778 0.9778 0.0000  4 Pt 3.12, 1 Tl 3.14
3 Pt 0.3172 0.3172 0.0000  4 Tl 2.82, 4 Br 3.12